1.
## In2OsW (PBE-GGA)

Data for an optimized crystal structure of In2OsW.

The structure in POSCAR format:
```
In2OsW
1.0
3.0419 0.0000 0.0000
0.0000 4.9945 0.0000
0.0000 0.0000 4.7598
In Os W
2 1 1
Cartesian
0.0000 0.0000 0.0000
1.5210 2.4972 0.0000
1.5210 0.0000 2.3799
0.0000 2.4972 2.3799
```

Properties
Magnetic moment ... 0.00 μB per formula unit
Energy relative to the lowest polymorph listed for this composition ... 2.07 eV/f.u.
DOS at the Fermi energy ... 0.644 states/eV per atom
DFT formation energy ... 0.723 eV per atom



2.
## Cr2FeWN (PBE-GGA)

Data for an optimized crystal structure of Cr2FeWN.

The structure in POSCAR format:
```
Cr2FeWN
1.0
-2.5608 2.8751 0.0041
-1.9494 -1.7322 -2.8325
-2.0464 -1.8263 2.5252
Cr Fe W N
2 1 1 1
Cartesian
-0.9747 -0.8661 -1.4163
-1.2804 1.4376 0.0020
-1.0232 -0.9131 1.2626
-3.2783 -0.3417 -0.1517
0.0000 0.0000 0.0000
```

Properties
ΔE_f (raw) ... -0.1099 eV per atom
Magnetic moment ... 0.00 μB per formula unit
DOS at the Fermi energy ... 0.738 states/eV per atom



3.
## Ba6Pt3ICl2 (PBE-GGA)

Data for an optimized crystal structure of Ba6Pt3ICl2.

The structure in POSCAR format:
```
Ba6Pt3ICl2
1.0
4.5701 0.0000 0.0000
0.0000 9.8050 -0.1127
-2.2851 -3.3117 10.0773
Ba Pt I Cl
6 3 1 2
Cartesian
0.0000 7.0215 6.3857
2.2851 4.7837 3.1887
2.2851 -0.5282 3.5789
2.2851 -0.5249 9.8636
0.0000 7.0182 0.1011
0.0000 1.7097 6.7759
2.2851 4.9025 -0.0563
2.2851 -0.5345 6.7039
0.0000 7.0279 3.2607
2.2851 0.0000 0.0000
2.2851 4.3292 6.6026
0.0000 2.1641 3.3620
```

Properties
ΔE_f (raw) ... -1.2857 eV per atom
Magnetic moment ... 0.00 μB per formula unit
DOS at the Fermi energy ... 0.660 states/eV per atom



4.
## SbAsSe4 (PBE-GGA)

Data for an optimized crystal structure of SbAsSe4.

The structure in POSCAR format:
```
SbAsSe4
1.0
0.0000 4.0500 4.0500
4.0500 0.0000 4.0500
4.0500 4.0500 0.0000
Sb As Se
1 1 4
Cartesian
0.0000 0.0000 0.0000
6.0750 6.0750 6.0750
3.0425 5.0575 5.0575
5.0575 5.0575 3.0425
5.0575 3.0425 5.0575
3.0425 3.0425 3.0425
```

Properties
ΔE_f (raw) ... 0.7237 eV per atom
Magnetic moment ... 0.00 μB per formula unit
DOS at the Fermi energy ... 0.974 states/eV per atom



5.
## Ce3ScSn12 (PBE-GGA)

Data for an optimized crystal structure of Ce3ScSn12.

The structure in POSCAR format:
```
Ce3ScSn12
1.0
4.7327 0.0000 0.0000
0.0000 4.7327 0.0000
0.0000 0.0000 18.4564
Ce Sc Sn
3 1 12
Cartesian
0.0000 0.0000 4.5763
0.0000 0.0000 9.2282
0.0000 0.0000 13.8801
0.0000 0.0000 0.0000
2.3663 2.3663 0.0000
2.3663 2.3663 4.5449
2.3663 2.3663 9.2282
2.3663 2.3663 13.9115
2.3663 0.0000 2.1942
2.3663 0.0000 6.8916
2.3663 0.0000 11.5648
2.3663 0.0000 16.2622
0.0000 2.3663 2.1942
0.0000 2.3663 6.8916
0.0000 2.3663 11.5648
0.0000 2.3663 16.2622
```

Properties
Magnetic moment ... 1.01 μB per formula unit
DOS at the Fermi energy ... 0.934 states/eV per atom
DFT formation energy ... -0.474 eV per atom



6.
## ZnCdPt4 (PBE-GGA)

Data for an optimized crystal structure of ZnCdPt4.

The structure in POSCAR format:
```
ZnCdPt4
1.0
-2.1980 0.5138 -1.7120
1.5903 -0.6765 -2.2449
-3.4157 -11.3142 0.9900
Zn Cd Pt
1 1 4
Cartesian
-2.0117 -5.7385 -1.4834
0.0000 0.0000 0.0000
-0.9093 -2.0868 -1.8029
-2.2238 -7.3662 0.6445
-1.1919 -3.9480 0.3454
-3.1141 -9.3901 -1.1639
```

Properties
Magnetic moment ... 0.00 μB per formula unit
Energy relative to the lowest polymorph listed for this composition ... 0.00 eV/f.u.
DOS at the Fermi energy ... 0.299 states/eV per atom
DFT formation energy ... -0.304 eV per atom



7.
## Pm2SmAl2 (PBE-GGA)

Data for an optimized crystal structure of Pm2SmAl2.

The structure in POSCAR format:
```
Pm2SmAl2
1.0
-2.9726 2.0797 0.8219
-3.4881 -4.2653 -1.8229
0.3619 -4.4894 12.6679
Pm Sm Al
4 2 4
Cartesian
-3.4393 -7.1567 9.8779
-2.6595 0.4817 1.7890
-1.4344 -2.9954 6.5999
-4.6644 -3.6796 5.0670
-2.9251 -3.2777 1.9229
-3.1736 -3.3972 9.7440
-3.2034 -5.7322 7.1267
-2.8953 -0.9428 4.5402
-1.6607 -5.3407 11.7153
-4.4380 -1.3343 -0.0484
```

Properties
Magnetic moment ... 0.00 μB per formula unit
Energy relative to the lowest polymorph listed for this composition ... 1.02 eV/f.u.
DOS at the Fermi energy ... 1.062 states/eV per atom
DFT formation energy ... -0.103 eV per atom



8.
## Ta2SiCl (PBE-GGA)

Data for an optimized crystal structure of Ta2SiCl.

The structure in POSCAR format:
```
Ta2SiCl
1.0
3.1644 0.0000 0.0000
0.0000 3.3042 -0.0057
0.0000 0.0133 7.0634
Cl Si Ta
1 1 2
Cartesian
1.5822 0.8294 1.7644
1.5822 2.4881 5.2933
0.0000 0.8384 6.6511
0.0000 0.8336 3.9412
```

Properties
ΔE_f (raw) ... -0.0914 eV per atom
Magnetic moment ... 0.00 μB per formula unit
Energy relative to the lowest polymorph listed for this composition ... 0.00 eV/f.u.
DOS at the Fermi energy ... 0.489 states/eV per atom



| no. | final energy (eV/f.u.) |
| --- | --- |
| 1 | -26.77 |
| 2 | -49.54 |
| 3 | -50.33 |
| 4 | -18.37 |
| 5 | -79.76 |
| 6 | -28.18 |
| 7 | -22.22 |
| 8 | -31.34 |